1.
VASP calculation (PBE) on a relaxed PmSi3Tc2 crystal.

The structure in CIF format:
```
data_PmSi3Tc2
_symmetry_space_group_name_H-M 'P 1'
_symmetry_Int_Tables_number 1
_cell_length_a 6.025
_cell_length_b 6.025
_cell_length_c 5.798
_cell_angle_alpha 90.00
_cell_angle_beta 90.00
_cell_angle_gamma 74.98
loop_
_symmetry_equiv_pos_as_xyz
'x,y,z'
loop_
_atom_site_label
_atom_site_type_symbol
_atom_site_fract_x
_atom_site_fract_y
_atom_site_fract_z
Pm1 Pm 0.161 0.839 0.750
Pm2 Pm 0.839 0.161 0.250
Si1 Si 0.035 0.619 0.250
Si2 Si 0.381 0.965 0.250
Si3 Si 0.438 0.562 0.250
Si4 Si 0.562 0.438 0.750
Si5 Si 0.619 0.035 0.750
Si6 Si 0.965 0.381 0.750
Tc1 Tc 0.298 0.298 0.000
Tc2 Tc 0.298 0.298 0.500
Tc3 Tc 0.702 0.702 0.000
Tc4 Tc 0.702 0.702 0.500
```

Calculated values
Total magnetization ... 0.0 Bohr magnetons per cell
Space group ... Cmcm (63)
Raw formation energy ... -0.56 eV/atom

2.
VASP calculation (PBE) on a relaxed Dy4ThCd3 crystal.

The structure in CIF format:
```
data_Dy4ThCd3
_symmetry_space_group_name_H-M 'P 1'
_symmetry_Int_Tables_number 1
_cell_length_a 3.670
_cell_length_b 3.670
_cell_length_c 16.353
_cell_angle_alpha 90.00
_cell_angle_beta 90.00
_cell_angle_gamma 90.00
loop_
_symmetry_equiv_pos_as_xyz
'x,y,z'
loop_
_atom_site_label
_atom_site_type_symbol
_atom_site_fract_x
_atom_site_fract_y
_atom_site_fract_z
Dy1 Dy 0.000 0.000 0.116
Dy2 Dy 0.000 0.000 0.356
Dy3 Dy 0.000 0.000 0.644
Dy4 Dy 0.000 0.000 0.884
Th1 Th 0.500 0.500 0.500
Cd1 Cd 0.500 0.500 0.000
Cd2 Cd 0.500 0.500 0.235
Cd3 Cd 0.500 0.500 0.765
```

Calculated values
Energy of formation ... -1.9 eV/f.u.
Total magnetization ... 0.0 Bohr magnetons per cell
Space group ... P4/mmm (123)

3.
VASP calculation (PBE) on a relaxed BaPa2HgO7 crystal.

The structure in CIF format:
```
data_BaPa2HgO7
_symmetry_space_group_name_H-M 'P 1'
_symmetry_Int_Tables_number 1
_cell_length_a 10.961
_cell_length_b 10.961
_cell_length_c 10.961
_cell_angle_alpha 157.13
_cell_angle_beta 157.13
_cell_angle_gamma 32.56
loop_
_symmetry_equiv_pos_as_xyz
'x,y,z'
loop_
_atom_site_label
_atom_site_type_symbol
_atom_site_fract_x
_atom_site_fract_y
_atom_site_fract_z
Ba1 Ba 0.000 0.000 0.000
Pa1 Pa 0.392 0.392 0.000
Pa2 Pa 0.608 0.608 0.000
Hg1 Hg 0.750 0.250 0.500
O1 O 0.092 0.592 0.500
O2 O 0.292 0.292 0.000
O3 O 0.408 0.908 0.500
O4 O 0.500 0.500 0.000
O5 O 0.594 0.094 0.500
O6 O 0.708 0.708 0.000
O7 O 0.906 0.406 0.500
```

Calculated values
Total magnetization ... 0.0 Bohr magnetons per cell
Space group ... I-4m2 (119)
Raw formation energy ... -2.86 eV/atom